Cd3In2Cl8 GGA-PBE optimized geometry; ΔE_f (raw) = -1.0092 eV per atom; DFT total energy = -2.778 eV per atom
1.0
7.736 -3.980 0.000
7.736 3.980 0.000
-2.147 0.000 6.526
Cd In Cl
3 2 8
direct
0.000 0.000 0.000 Cd
0.257 0.743 0.500 Cd
0.743 0.257 0.500 Cd
0.276 0.276 0.838 In
0.724 0.724 0.162 In
0.098 0.098 0.403 Cl
0.131 0.670 0.108 Cl
0.330 0.869 0.892 Cl
0.393 0.393 0.551 Cl
0.607 0.607 0.449 Cl
0.670 0.131 0.108 Cl
0.869 0.330 0.892 Cl
0.902 0.902 0.597 Cl